Run a
This record from the Alexandria database describes TeMo2Ir at its PBEsol-relaxed geometry. The functional is meta-GGA SCAN.

Unit cell a=6.365 b=6.365 c=6.365 alpha=90.00 beta=90.00 gamma=90.00
Element x y z (fractional)
Te (0.000, 0.000, 0.000)
Te (0.000, 0.500, 0.500)
Te (0.500, 0.000, 0.500)
Te (0.500, 0.500, 0.000)
Mo (0.250, 0.250, 0.250)
Mo (0.250, 0.250, 0.750)
Mo (0.250, 0.750, 0.250)
Mo (0.250, 0.750, 0.750)
Mo (0.750, 0.250, 0.250)
Mo (0.750, 0.250, 0.750)
Mo (0.750, 0.750, 0.250)
Mo (0.750, 0.750, 0.750)
Ir (0.000, 0.000, 0.500)
Ir (0.000, 0.500, 0.000)
Ir (0.500, 0.000, 0.000)
Ir (0.500, 0.500, 0.500)

## Properties
The total magnetization comes out at 0.00 μB/atom. Its density of states at the Fermi level is 2.5 states/eV/f.u.

Run b
This record from the Alexandria database describes TeMo2Ir at its PBEsol-relaxed geometry. The functional is meta-GGA SCAN.

Unit cell a=3.026 b=3.026 c=25.613 alpha=90.00 beta=90.00 gamma=120.00
Element x y z (fractional)
Te (0.000, 0.000, 0.000)
Te (0.333, 0.667, 0.667)
Te (0.667, 0.333, 0.333)
Mo (0.000, 0.000, 0.248)
Mo (0.000, 0.000, 0.503)
Mo (0.333, 0.667, 0.170)
Mo (0.333, 0.667, 0.915)
Mo (0.667, 0.333, 0.582)
Mo (0.667, 0.333, 0.836)
Ir (0.000, 0.000, 0.758)
Ir (0.333, 0.667, 0.425)
Ir (0.667, 0.333, 0.092)

## Properties
The total magnetization comes out at 0.00 μB/atom. Its density of states at the Fermi level is 3.1 states/eV/f.u.

Most favorable first, least favorable last: run a, run b

Run a
This record from the Alexandria database describes TeMoIr3 at its PBEsol-relaxed geometry. The functional is meta-GGA SCAN.

Unit cell a=4.747 b=4.747 c=4.747 alpha=90.00 beta=90.00 gamma=90.00
Element x y z (fractional)
Te (0.000, 0.000, 0.000)
Mo (0.500, 0.500, 0.500)
Ir (0.000, 0.000, 0.500)
Ir (0.000, 0.500, 0.000)
Ir (0.500, 0.000, 0.000)

## Properties
The total magnetization comes out at 1.07 μB/atom. Its density of states at the Fermi level is 3.5 states/eV/f.u.

Run b
This record from the Alexandria database describes TeMoIr3 at its PBEsol-relaxed geometry. The functional is meta-GGA SCAN.

Unit cell a=4.683 b=4.683 c=4.683 alpha=90.00 beta=90.00 gamma=90.00
Element x y z (fractional)
Te (0.000, 0.000, 0.000)
Mo (0.500, 0.500, 0.500)
Ir (0.000, 0.500, 0.500)
Ir (0.500, 0.000, 0.500)
Ir (0.500, 0.500, 0.000)

## Properties
The total magnetization comes out at 0.00 μB/atom. Its density of states at the Fermi level is 4.2 states/eV/f.u.

Most favorable first, least favorable last: run b, run a

Run a
This record from the Alexandria database describes MoIr2W at its PBEsol-relaxed geometry. The functional is meta-GGA SCAN.

Unit cell a=5.480 b=7.770 c=2.744 alpha=90.00 beta=90.00 gamma=90.00
Element x y z (fractional)
Mo (0.000, 0.000, 0.000)
Mo (0.500, 0.500, 0.000)
Ir (0.250, 0.250, 0.500)
Ir (0.250, 0.750, 0.500)
Ir (0.750, 0.250, 0.500)
Ir (0.750, 0.750, 0.500)
W (0.000, 0.500, 0.000)
W (0.500, 0.000, 0.000)

## Properties
The total magnetization comes out at 0.00 μB/atom. Its density of states at the Fermi level is 2.0 states/eV/f.u.

Run b
This record from the Alexandria database describes MoIr2W at its PBEsol-relaxed geometry. The functional is meta-GGA SCAN.

Unit cell a=2.753 b=4.423 c=4.802 alpha=90.00 beta=90.00 gamma=90.00
Element x y z (fractional)
Mo (0.000, 0.000, 0.000)
Ir (0.500, 0.000, 0.502)
Ir (0.500, 0.500, 0.151)
W (0.000, 0.500, 0.657)

## Properties
The total magnetization comes out at 0.00 μB/atom. Its density of states at the Fermi level is 2.4 states/eV/f.u.

Run c
This record from the Alexandria database describes MoIr2W at its PBEsol-relaxed geometry. The functional is meta-GGA SCAN.

Unit cell a=9.169 b=2.742 c=4.746 alpha=90.00 beta=100.05 gamma=90.00
Element x y z (fractional)
Mo (0.000, 0.000, 0.000)
Mo (0.500, 0.500, 0.000)
Ir (0.249, 0.000, 0.750)
Ir (0.251, 0.500, 0.250)
Ir (0.749, 0.500, 0.750)
Ir (0.751, 0.000, 0.250)
W (0.000, 0.500, 0.500)
W (0.500, 0.000, 0.500)

## Properties
The total magnetization comes out at 0.00 μB/atom. Its density of states at the Fermi level is 2.5 states/eV/f.u.

Most favorable first, least favorable last: run b, run a, run c